The following is a DFT calculation (PBE-GGA) of a relaxed ZrPa2H crystal.

Cell lengths 3.080, 3.080, 7.959 Å; angles 90.00, 90.00, 90.00 degrees
Sites, in units of the cell vectors:
1 H 0.500 0.500 0.000
2 Pa 0.000 0.000 0.817
3 Pa 0.000 0.000 0.183
4 Zr 0.500 0.500 0.500

Values from the calculation:
As for the offset from the most stable computed form: 17.7 kJ per mole of atoms. The calculation puts the density of states at the Fermi level at 4.617 states/eV/f.u.

***

The following is a DFT calculation (PBE-GGA) of a relaxed PaTi2Zn crystal.

Cell lengths 3.390, 3.390, 6.321 Å; angles 90.00, 90.00, 90.00 degrees
Sites, in units of the cell vectors:
1 Zn 0.500 0.500 0.000
2 Pa 0.500 0.500 0.500
3 Ti 0.000 0.000 0.754
4 Ti 0.000 0.000 0.246

Values from the calculation:
As for the offset from the most stable computed form: 3.3 kJ per mole of atoms. The calculation puts the density of states at the Fermi level at 5.168 states/eV/f.u. The value obtained for the formation energy is 36 meV per atom.

***

The following is a DFT calculation (PBE-GGA) of a relaxed NaLaV2 crystal.

Cell lengths 8.168, 8.168, 6.485 Å; angles 50.96, 50.96, 90.00 degrees
Sites, in units of the cell vectors:
1 Na 0.500 0.500 0.000
2 Na 0.250 0.750 0.500
3 La 0.000 0.000 0.000
4 La 0.750 0.250 0.500
5 V 0.612 0.125 0.250
6 V 0.138 0.625 0.250
7 V 0.375 0.388 0.750
8 V 0.875 0.862 0.750

Values from the calculation:
As for the offset from the most stable computed form: 19.5 kJ per mole of atoms. The calculation puts the density of states at the Fermi level at 7.681 states/eV/f.u. The value obtained for the formation energy is 1198 meV per atom.

***

The following is a DFT calculation (PBE-GGA) of a relaxed Tc3IrRu crystal.

Cell lengths 2.731, 9.090, 8.322 Å; angles 91.21, 99.43, 53.03 degrees
Sites, in units of the cell vectors:
1 Tc 0.194 0.176 0.687
2 Tc 0.321 0.042 0.408
3 Tc 0.282 0.687 0.910
4 Tc 0.333 0.220 0.141
5 Tc 0.183 0.998 0.955
6 Tc 0.233 0.531 0.186
7 Ir 0.387 0.378 0.884
8 Ir 0.129 0.840 0.211
9 Ru 0.229 0.344 0.431
10 Ru 0.286 0.874 0.664

Values from the calculation:
As for the offset from the most stable computed form: 0.0 kJ per mole of atoms. The calculation puts the density of states at the Fermi level at 4.884 states/eV/f.u. The value obtained for the formation energy is 229 meV per atom.

***

The following is a DFT calculation (PBE-GGA) of a relaxed La2Ho4Tl3H2 crystal.

Cell lengths 4.829, 4.829, 12.889 Å; angles 100.80, 100.80, 90.00 degrees
Sites, in units of the cell vectors:
1 La 0.304 0.304 0.608
2 La 0.696 0.696 0.392
3 Ho 0.419 0.919 0.838
4 Ho 0.919 0.419 0.838
5 Ho 0.081 0.581 0.162
6 Ho 0.581 0.081 0.162
7 Tl 0.000 0.000 0.000
8 Tl 0.168 0.168 0.336
9 Tl 0.832 0.832 0.664
10 H 0.405 0.405 0.809
11 H 0.595 0.595 0.191

Values from the calculation:
Its uncorrected energy is -4.14 eV per atom. The calculation puts the density of states at the Fermi level at 9.908 states/eV/f.u.

***

The following is a DFT calculation (PBE-GGA) of a relaxed PmTaS2 crystal.

Cell lengths 3.426, 3.426, 9.006 Å; angles 79.04, 79.04, 60.00 degrees
Sites, in units of the cell vectors:
1 S 0.108 0.108 0.676
2 S 0.892 0.892 0.324
3 Pm 0.000 0.000 0.000
4 Ta 0.500 0.500 0.500

Values from the calculation:
The calculation puts the density of states at the Fermi level at 4.032 states/eV/f.u. The value obtained for the uncorrected formation energy is -0.80 eV/atom.

***

The following is a DFT calculation (PBE-GGA) of a relaxed CaIn2Pb crystal.

Cell lengths 4.000, 4.000, 7.189 Å; angles 90.00, 90.00, 90.01 degrees
Sites, in units of the cell vectors:
1 Pb 0.000 0.000 0.479
2 Ca 0.500 0.500 0.756
3 In 0.000 0.000 0.024
4 In 0.500 0.500 0.242

Values from the calculation:
The calculation puts the density of states at the Fermi level at 2.265 states/eV/f.u. The value obtained for the formation energy is -236 meV per atom.

***

The following is a DFT calculation (PBE-GGA) of a relaxed Na2GeTeO6 crystal.

Cell lengths 6.179, 6.179, 6.179 Å; angles 49.62, 49.62, 49.62 degrees
Sites, in units of the cell vectors:
1 Na 0.860 0.860 0.860
2 Na 0.139 0.139 0.139
3 Ge 0.662 0.662 0.662
4 Te 0.338 0.338 0.338
5 O 0.688 0.058 0.460
6 O 0.460 0.688 0.058
7 O 0.058 0.460 0.688
8 O 0.317 0.936 0.543
9 O 0.543 0.317 0.936
10 O 0.936 0.543 0.317

Values from the calculation:
As for the offset from the most stable computed form: 0.1 kJ per mole of atoms. The calculation puts the density of states at the Fermi level at 0.000 states/eV/f.u. The value obtained for the uncorrected formation energy is -1.53 eV/atom.

***

The following is a DFT calculation (PBE-GGA) of a relaxed YScTe crystal.

Cell lengths 5.150, 5.150, 5.150 Å; angles 60.00, 60.00, 60.00 degrees
Sites, in units of the cell vectors:
1 Sc 0.000 0.000 0.000
2 Te 0.500 0.500 0.500
3 Y 0.250 0.250 0.250

Values from the calculation:
As for the offset from the most stable computed form: 98.1 kJ per mole of atoms. The calculation puts the density of states at the Fermi level at 7.134 states/eV/f.u. The value obtained for the uncorrected formation energy is 0.12 eV/atom.

***

The following is a DFT calculation (PBE-GGA) of a relaxed TiGaIr2 crystal.

Cell lengths 3.492, 4.104, 4.104 Å; angles 90.00, 90.00, 90.00 degrees
Sites, in units of the cell vectors:
1 Ir 0.000 0.000 0.500
2 Ir 0.000 0.500 0.000
3 Ga 0.500 0.500 0.500
4 Ti 0.500 0.000 0.000

Values from the calculation:
The calculation puts the density of states at the Fermi level at 2.157 states/eV/f.u. The value obtained for the formation energy is -695 meV per atom.

***

The following is a DFT calculation (PBE-GGA) of a relaxed Tl4Te2Cl crystal.

Cell lengths 4.555, 7.105, 8.744 Å; angles 74.54, 74.90, 71.31 degrees
Sites, in units of the cell vectors:
1 Tl 0.089 0.205 0.617
2 Tl 0.911 0.795 0.383
3 Tl 0.309 0.298 0.083
4 Tl 0.691 0.702 0.917
5 Te 0.385 0.545 0.685
6 Te 0.615 0.455 0.315
7 Cl 0.000 0.000 0.000

Values from the calculation:
The calculation puts the density of states at the Fermi level at 1.747 states/eV/f.u. The value obtained for the uncorrected formation energy is -0.41 eV/atom.

***

The following is a DFT calculation (PBE-GGA) of a relaxed CaNb2H crystal.

Cell lengths 5.007, 5.604, 6.200 Å; angles 67.33, 67.77, 68.39 degrees
Sites, in units of the cell vectors:
1 Ca 0.859 0.342 0.207
2 Ca 0.225 0.787 0.067
3 Nb 0.880 0.839 0.663
4 Nb 0.571 0.323 0.806
5 Nb 0.466 0.855 0.447
6 Nb 0.205 0.292 0.607
7 H 0.941 0.058 0.825
8 H 0.819 0.565 0.536

Values from the calculation:
As for the offset from the most stable computed form: 15.1 kJ per mole of atoms. The calculation puts the density of states at the Fermi level at 3.191 states/eV/f.u.

***

The following is a DFT calculation (PBE-GGA) of a relaxed Tb2Pm2Dy7 crystal.

Cell lengths 8.047, 10.404, 8.047 Å; angles 126.07, 88.40, 53.93 degrees
Sites, in units of the cell vectors:
1 Tb 0.714 0.000 0.714
2 Tb 0.286 0.000 0.286
3 Pm 0.215 0.694 0.785
4 Pm 0.785 0.306 0.215
5 Dy 0.234 0.678 0.241
6 Dy 0.759 0.678 0.766
7 Dy 0.650 0.080 0.350
8 Dy 0.000 0.500 0.000
9 Dy 0.350 0.920 0.650
10 Dy 0.766 0.322 0.759
11 Dy 0.241 0.322 0.234

Values from the calculation:
As for the offset from the most stable computed form: 0.0 kJ per mole of atoms. The calculation puts the density of states at the Fermi level at 17.965 states/eV/f.u. The value obtained for the formation energy is 152 meV per atom.

***

The following is a DFT calculation (PBE-GGA) of a relaxed Al2GaOs2 crystal.

Cell lengths 6.906, 6.906, 3.177 Å; angles 90.00, 90.00, 90.00 degrees
Sites, in units of the cell vectors:
1 Os 0.345 0.845 0.000
2 Os 0.845 0.655 0.000
3 Os 0.655 0.155 0.000
4 Os 0.155 0.345 0.000
5 Al 0.142 0.642 0.500
6 Al 0.642 0.858 0.500
7 Al 0.858 0.358 0.500
8 Al 0.358 0.142 0.500
9 Ga 0.000 0.000 0.000
10 Ga 0.500 0.500 0.000

Values from the calculation:
The calculation puts the density of states at the Fermi level at 2.592 states/eV/f.u. The value obtained for the formation energy is -186 meV per atom.

***

The following is a DFT calculation (PBE-GGA) of a relaxed TlGe3Br crystal.

Cell lengths 5.279, 5.279, 5.279 Å; angles 90.00, 90.00, 90.00 degrees
Sites, in units of the cell vectors:
1 Tl 0.500 0.500 0.500
2 Ge 0.000 0.500 0.000
3 Ge 0.000 0.000 0.500
4 Ge 0.500 0.000 0.000
5 Br 0.000 0.000 0.000

Values from the calculation:
As for the offset from the most stable computed form: 0.0 kJ per mole of atoms. The calculation puts the density of states at the Fermi level at 1.515 states/eV/f.u. The value obtained for the uncorrected formation energy is 0.78 eV/atom.

***

The following is a DFT calculation (PBE-GGA) of a relaxed Sm5Dy12Er2 crystal.

Cell lengths 9.249, 9.057, 8.623 Å; angles 91.94, 90.00, 120.71 degrees
Sites, in units of the cell vectors:
1 Sm 0.231 0.462 0.571
2 Sm 0.293 0.586 0.978
3 Sm 0.000 0.000 0.500
4 Sm 0.707 0.414 0.022
5 Sm 0.769 0.538 0.429
6 Dy 0.927 0.854 0.125
7 Dy 0.032 0.704 0.761
8 Dy 0.673 0.704 0.761
9 Dy 0.179 0.740 0.328
10 Dy 0.562 0.740 0.328
11 Dy 0.443 0.887 0.663
12 Dy 0.557 0.113 0.337
13 Dy 0.821 0.260 0.672
14 Dy 0.438 0.260 0.672
15 Dy 0.968 0.296 0.239
16 Dy 0.327 0.296 0.239
17 Dy 0.073 0.146 0.875
18 Er 0.672 0.000 0.000
19 Er 0.328 0.000 0.000

Values from the calculation:
As for the offset from the most stable computed form: 10.0 kJ per mole of atoms. The calculation puts the density of states at the Fermi level at 24.952 states/eV/f.u. The value obtained for the formation energy is 121 meV per atom.

***

The following is a DFT calculation (PBE-GGA) of a relaxed Y2MgS4 crystal.

Cell lengths 7.363, 8.780, 11.722 Å; angles 99.86, 96.46, 91.99 degrees
Sites, in units of the cell vectors:
1 Y 0.863 0.294 0.654
2 Y 0.137 0.706 0.346
3 Y 0.750 0.123 0.996
4 Y 0.250 0.877 0.004
5 Y 0.629 0.445 0.330
6 Y 0.371 0.555 0.670
7 Y 0.641 0.977 0.356
8 Y 0.359 0.023 0.644
9 Mg 0.863 0.793 0.690
10 Mg 0.137 0.207 0.310
11 Mg 0.760 0.593 0.987
12 Mg 0.240 0.407 0.013
13 S 0.899 0.351 0.881
14 S 0.101 0.649 0.119
15 S 0.887 0.836 0.898
16 S 0.113 0.164 0.102
17 S 0.847 0.237 0.400
18 S 0.153 0.763 0.600
19 S 0.790 0.716 0.360
20 S 0.210 0.284 0.640
21 S 0.707 0.007 0.607
22 S 0.293 0.993 0.393
23 S 0.699 0.542 0.603
24 S 0.301 0.458 0.397
25 S 0.587 0.951 0.133
26 S 0.413 0.049 0.867
27 S 0.593 0.397 0.102
28 S 0.407 0.603 0.898

Values from the calculation:
As for the offset from the most stable computed form: 16.5 kJ per mole of atoms. The calculation puts the density of states at the Fermi level at 0.000 states/eV/f.u. The value obtained for the uncorrected formation energy is -1.72 eV/atom.

***

The following is a DFT calculation (PBE-GGA) of a relaxed Tl2ZnGaF6 crystal.

Cell lengths 5.644, 6.219, 6.219 Å; angles 120.00, 90.00, 90.00 degrees
Sites, in units of the cell vectors:
1 Tl 0.194 0.333 0.667
2 Tl 0.806 0.667 0.333
3 Zn 0.500 0.000 0.000
4 Ga 0.000 0.000 0.000
5 F 0.790 0.144 0.288
6 F 0.790 0.144 0.856
7 F 0.790 0.712 0.856
8 F 0.210 0.856 0.144
9 F 0.210 0.288 0.144
10 F 0.210 0.856 0.712

Values from the calculation:
The calculation puts the density of states at the Fermi level at 2.845 states/eV/f.u. The value obtained for the uncorrected formation energy is -1.98 eV/atom.

***

The following is a DFT calculation (PBE-GGA) of a relaxed Sm3ErTl2O crystal.

Cell lengths 4.634, 4.774, 8.990 Å; angles 105.40, 104.93, 90.00 degrees
Sites, in units of the cell vectors:
1 Sm 0.000 0.500 0.000
2 Sm 0.171 0.171 0.342
3 Sm 0.829 0.829 0.658
4 Er 0.500 0.000 0.000
5 Tl 0.638 0.638 0.276
6 Tl 0.362 0.362 0.724
7 O 0.000 0.000 0.000

Values from the calculation:
The calculation puts the density of states at the Fermi level at 2.808 states/eV/f.u. The value obtained for the uncorrected formation energy is -1.06 eV/atom.

***

The following is a DFT calculation (PBE-GGA) of a relaxed BaCa3Pt crystal.

Cell lengths 28.975, 10.710, 10.710 Å; angles 157.96, 158.82, 21.18 degrees
Sites, in units of the cell vectors:
1 Ca 0.336 0.753 0.247
2 Ca 0.664 0.247 0.753
3 Ca 0.030 0.295 0.705
4 Ca 0.970 0.705 0.295
5 Ca 0.598 0.690 0.310
6 Ca 0.402 0.310 0.690
7 Ba 0.232 0.711 0.289
8 Ba 0.768 0.289 0.711
9 Pt 0.566 0.977 0.023
10 Pt 0.434 0.023 0.977

Values from the calculation:
As for the offset from the most stable computed form: 6.8 kJ per mole of atoms. The calculation puts the density of states at the Fermi level at 4.843 states/eV/f.u. The value obtained for the formation energy is -391 meV per atom.

***

The following is a DFT calculation (PBE-GGA) of a relaxed GaW crystal.

Cell lengths 2.726, 4.647, 4.914 Å; angles 90.00, 89.94, 90.00 degrees
Sites, in units of the cell vectors:
1 Ga 0.500 0.250 0.343
2 Ga 0.500 0.750 0.657
3 W 0.999 0.250 0.847
4 W 0.001 0.750 0.153

Values from the calculation:
As for the offset from the most stable computed form: 10.2 kJ per mole of atoms. The calculation puts the density of states at the Fermi level at 0.854 states/eV/f.u. The value obtained for the formation energy is 255 meV per atom.

***

The following is a DFT calculation (PBE-GGA) of a relaxed VPd2S6 crystal.

Cell lengths 5.516, 5.516, 11.038 Å; angles 90.00, 90.00, 90.00 degrees
Sites, in units of the cell vectors:
1 V 0.500 0.500 0.000
2 V 0.000 0.000 0.500
3 Pd 0.500 0.500 0.333
4 Pd 0.500 0.500 0.667
5 Pd 0.000 0.000 0.167
6 Pd 0.000 0.000 0.833
7 S 0.690 0.690 0.159
8 S 0.690 0.690 0.841
9 S 0.696 0.696 0.500
10 S 0.804 0.196 0.000
11 S 0.810 0.190 0.341
12 S 0.810 0.190 0.659
13 S 0.190 0.810 0.341
14 S 0.190 0.810 0.659
15 S 0.196 0.804 0.000
16 S 0.304 0.304 0.500
17 S 0.310 0.310 0.159
18 S 0.310 0.310 0.841

Values from the calculation:
The calculation puts the density of states at the Fermi level at 7.670 states/eV/f.u. The value obtained for the uncorrected formation energy is -0.19 eV/atom.

***

The following is a DFT calculation (PBE-GGA) of a relaxed FeCu2Ag crystal.

Cell lengths 5.185, 5.185, 5.185 Å; angles 149.42, 128.88, 60.75 degrees
Sites, in units of the cell vectors:
1 Ag 0.246 0.746 0.500
2 Cu 0.986 0.986 0.000
3 Cu 0.753 0.253 0.500
4 Fe 0.514 0.514 0.000

Values from the calculation:
As for the offset from the most stable computed form: 11.1 kJ per mole of atoms. The calculation puts the density of states at the Fermi level at 3.202 states/eV/f.u. The value obtained for the formation energy is 284 meV per atom.